1.
Below is LiTiInO4 after structural relaxation, with properties calculated at the PBE level.

Values from the calculation:
Symmetry: Imma, No. 74
Uncorrected formation energy in eV/atom: -2.259
Total DFT energy (no corrections) in eV per atom: -6.885

a b c (Å): 6.0027 6.2597 6.2597
angles (deg): 61.50 61.35 61.35
With the nearest neighbours (Å) after each atom.
Fractional positions:
O: 0.2146 0.7760 0.2760  1 Li 1.99, 1 Ti 2.00, 2 In 2.17
O: 0.7854 0.2240 0.7240  1 Li 1.99, 1 Ti 2.00, 2 In 2.17
O: 0.2665 0.2240 0.7240  1 Li 1.99, 1 Ti 2.00, 2 In 2.17
O: 0.2501 0.2084 0.2914  2 Ti 2.01, 1 Li 2.23, 1 In 2.25
O: 0.7499 0.2086 0.2916  2 Ti 2.01, 1 Li 2.23, 1 In 2.25
O: 0.7499 0.7916 0.7086  2 Ti 2.01, 1 Li 2.23, 1 In 2.25
O: 0.7335 0.7760 0.2760  1 Li 1.99, 1 Ti 2.00, 2 In 2.17
O: 0.2501 0.7914 0.7084  2 Ti 2.01, 1 Li 2.23, 1 In 2.25
In: 0.0000 0.0000 0.0000  6 O 2.17-2.25
In: 0.0000 0.5000 0.5000  6 O 2.17-2.25
Li: 0.6123 0.6377 0.1377  2 O 1.99
Li: 0.3877 0.3623 0.8623  2 O 1.99
Ti: 0.5000 0.0000 0.5000  6 O 2.00-2.01
Ti: 0.0000 0.0000 0.5000  6 O 2.00-2.01

2.
Below is LiBeGeRh2 after structural relaxation, with properties calculated at the PBE level.

Values from the calculation:
Symmetry: P4/mmm, No. 123
Formation energy in eV/atom: 0.524
Total DFT energy (no corrections) in eV per atom: -4.468
Relative energy among the computed polymorphs in eV/f.u.: 0.00

a b c (Å): 4.4983 4.3088 4.4983
angles (deg): 90.00 90.00 90.00
With the nearest neighbours (Å) after each atom.
Fractional positions:
Rh: 0.5000 0.0000 0.0000  2 Ge 2.25
Rh: 0.0000 0.0000 0.5000  2 Ge 2.25
Li: 0.0000 0.5000 0.0000  2 Ge 2.15
Be: 0.5000 0.5000 0.5000  8 Rh 3.11, 4 Li 3.18
Ge: 0.0000 0.0000 0.0000  2 Li 2.15, 4 Rh 2.25

3.
Below is Ba2Pd2Ru after structural relaxation, with properties calculated at the PBE level.

Values from the calculation:
Symmetry: I4/mmm, No. 139
Formation energy in eV/atom: 0.217
Total DFT energy (no corrections) in eV per atom: -4.484
Relative energy among the computed polymorphs in eV/f.u.: 0.64

a b c (Å): 6.1944 6.1944 5.8735
angles (deg): 58.18 58.18 90.00
With the nearest neighbours (Å) after each atom.
Fractional positions:
Ba: 0.2500 0.7500 0.5000  4 Pd 3.16
Ba: 0.7500 0.2500 0.5000  4 Pd 3.16
Pd: 0.3305 0.3305 0.3391  1 Ru 2.59, 1 Pd 2.65
Pd: 0.6695 0.6695 0.6609  1 Ru 2.59, 1 Pd 2.65
Ru: 0.0000 0.0000 0.0000  2 Pd 2.59